{
  "formula": "Cu2Br3F",
  "functional": "PBE",
  "state": "optimized geometry",
  "cell": [[3.299, 0.000, 0.685], [1.462, 9.616, 1.245], [-0.238, -0.155, 9.431]],
  "species": ["F", "F", "Br", "Br", "Br", "Br", "Br", "Br", "Cu", "Cu", "Cu", "Cu"],
  "frac_coords": [[0.575, 0.638, 0.213], [0.425, 0.362, 0.787], [0.863, 0.748, 0.526], [0.720, 0.664, 0.896], [0.280, 0.336, 0.104], [0.137, 0.252, 0.474], [0.930, 0.939, 0.202], [0.070, 0.061, 0.798], [0.137, 0.640, 0.086], [0.863, 0.360, 0.914], [0.589, 0.176, 0.646], [0.411, 0.824, 0.354]],
  "total_energy_ev_per_atom": -3.070,
  "dos_ef_per_ev_atom": 0.599,
  "sg": "C2/m (12)"
}



{
  "formula": "Cu3BrF",
  "functional": "PBE",
  "state": "optimized geometry",
  "cell": [[-4.668, -0.571, 0.014], [0.376, -3.159, -3.464], [0.430, -3.437, 3.181]],
  "species": ["Br", "Cu", "Cu", "Cu", "F"],
  "frac_coords": [[0.000, 0.000, 0.000], [0.500, 0.000, 0.000], [0.000, 0.000, 0.500], [0.000, 0.500, 0.000], [0.500, 0.500, 0.500]],
  "total_energy_ev_per_atom": -2.700,
  "dos_ef_per_ev_atom": 0.362,
  "sg": "Pm-3m (221)",
  "relative_energy_mev_per_atom": 372
}



{
  "formula": "Cu2BrF",
  "functional": "PBE",
  "state": "optimized geometry",
  "cell": [[4.718, 0.000, 0.000], [0.000, 4.718, 0.000], [2.359, 2.359, 6.215]],
  "species": ["Cu", "Cu", "Cu", "Cu", "F", "F", "Br", "Br"],
  "frac_coords": [[0.375, 0.446, 0.750], [0.554, 0.125, 0.250], [0.196, 0.625, 0.250], [0.875, 0.804, 0.750], [0.500, 0.500, 0.000], [0.250, 0.750, 0.500], [0.750, 0.250, 0.500], [0.000, 0.000, 0.000]],
  "total_energy_ev_per_atom": -3.454,
  "dos_ef_per_ev_atom": 0.152,
  "sg": "I-42d (122)",
  "relative_energy_mev_per_atom": 17
}



{
  "formula": "CuBr2F",
  "functional": "PBE",
  "state": "optimized geometry",
  "cell": [[2.255, -3.636, 1.616], [-1.652, -4.209, -0.693], [2.122, -2.843, -2.886]],
  "species": ["F", "Br", "Br", "Cu"],
  "frac_coords": [[0.000, 0.000, 0.000], [0.750, 0.750, 0.750], [0.250, 0.250, 0.250], [0.500, 0.500, 0.500]],
  "total_energy_ev_per_atom": -2.263,
  "dos_ef_per_ev_atom": 1.063,
  "sg": "Fm-3m (225)",
  "relative_energy_mev_per_atom": 217
}



Taking the records one at a time from the top gives energy relative to the elements, uncorrected values of -0.556, 0.466, -0.520, 0.066 eV/atom.
Taking the records one at a time from the top gives size of the total moment values of 0.789, 0.000, 0.000, 0.005 μB/cell.